1.
A plane-wave DFT calculation with PBE was carried out for K5RuCl2O4 after structural relaxation.

abc: 8.444 6.064 6.064
angles: 112.48 90.00 90.00
Positions (direct):
1 K 0.000 0.000 0.000
2 K 0.292 0.218 0.591
3 K 0.292 0.591 0.218
4 K 0.708 0.218 0.591
5 K 0.708 0.591 0.218
6 Ru 0.500 0.916 0.916
7 Cl 0.000 0.464 0.867
8 Cl 0.000 0.867 0.464
9 O 0.325 0.082 0.082
10 O 0.500 0.595 0.881
11 O 0.500 0.881 0.595
12 O 0.675 0.082 0.082


2.
A plane-wave DFT calculation with PBE was carried out for KRuClO4 after structural relaxation.

abc: 6.754 6.754 8.836
angles: 106.59 106.59 73.06
Positions (direct):
1 K 0.204 0.204 0.160
2 K 0.796 0.796 0.840
3 Ru 0.371 0.371 0.703
4 Ru 0.629 0.629 0.297
5 Cl 0.064 0.064 0.800
6 Cl 0.936 0.936 0.200
7 O 0.124 0.460 0.748
8 O 0.351 0.351 0.501
9 O 0.460 0.124 0.748
10 O 0.466 0.466 0.174
11 O 0.534 0.534 0.826
12 O 0.540 0.876 0.252
13 O 0.649 0.649 0.499
14 O 0.876 0.540 0.252


3.
A plane-wave DFT calculation with PBE was carried out for K2RuCl5O after structural relaxation.

Calculated values
For the distance to the lowest polymorph of the same formula, the calculation gives 0 meV per atom.

abc: 13.504 9.933 6.997
angles: 90.00 90.00 90.00
Positions (direct):
1 K 0.142 0.001 0.167
2 K 0.142 0.499 0.167
3 K 0.358 0.501 0.667
4 K 0.358 0.999 0.667
5 K 0.642 0.001 0.333
6 K 0.642 0.499 0.333
7 K 0.858 0.501 0.833
8 K 0.858 0.999 0.833
9 Ru 0.097 0.750 0.671
10 Ru 0.403 0.250 0.171
11 Ru 0.597 0.750 0.829
12 Ru 0.903 0.250 0.329
13 Cl 0.000 0.250 0.042
14 Cl 0.000 0.750 0.958
15 Cl 0.107 0.512 0.686
16 Cl 0.107 0.988 0.686
17 Cl 0.216 0.750 0.421
18 Cl 0.242 0.750 0.890
19 Cl 0.258 0.250 0.390
20 Cl 0.284 0.250 0.921
21 Cl 0.393 0.012 0.186
22 Cl 0.393 0.488 0.186
23 Cl 0.500 0.250 0.458
24 Cl 0.500 0.750 0.542
25 Cl 0.607 0.512 0.814
26 Cl 0.607 0.988 0.814
27 Cl 0.716 0.750 0.079
28 Cl 0.742 0.750 0.610
29 Cl 0.758 0.250 0.110
30 Cl 0.784 0.250 0.579
31 Cl 0.893 0.012 0.314
32 Cl 0.893 0.488 0.314
33 O 0.004 0.250 0.479
34 O 0.496 0.750 0.979
35 O 0.504 0.250 0.021
36 O 0.996 0.750 0.521


4.
A plane-wave DFT calculation with PBE was carried out for K3Sn2S3ClO3 after structural relaxation.

abc: 9.757 7.094 9.860
angles: 90.00 118.72 90.00
Positions (direct):
1 K 0.145 0.000 0.359
2 K 0.240 0.291 0.987
3 K 0.256 0.801 0.754
4 K 0.744 0.301 0.246
5 K 0.760 0.791 0.013
6 K 0.855 0.500 0.641
7 Sn 0.181 0.505 0.310
8 Sn 0.474 0.793 0.281
9 Sn 0.526 0.293 0.719
10 Sn 0.819 0.005 0.690
11 S 0.038 0.826 0.917
12 S 0.144 0.378 0.540
13 S 0.439 0.289 0.392
14 S 0.561 0.789 0.608
15 S 0.856 0.878 0.460
16 S 0.962 0.326 0.083
17 Cl 0.497 0.499 0.946
18 Cl 0.503 0.999 0.054
19 O 0.099 0.634 0.876
20 O 0.278 0.209 0.631
21 O 0.389 0.075 0.318
22 O 0.611 0.575 0.682
23 O 0.722 0.709 0.369
24 O 0.901 0.134 0.124


5.
A plane-wave DFT calculation with PBE was carried out for K2SbCl3O after structural relaxation.

abc: 9.062 9.062 9.062
angles: 153.06 144.47 45.15
Positions (direct):
1 K 0.145 0.145 0.000
2 K 0.855 0.855 0.000
3 Sb 0.500 0.500 0.000
4 Cl 0.000 0.500 0.500
5 Cl 0.332 0.332 0.000
6 Cl 0.668 0.668 0.000
7 O 0.500 0.000 0.500


6.
A plane-wave DFT calculation with PBE was carried out for K5SbCl2O4 after structural relaxation.

abc: 8.405 6.218 6.218
angles: 114.85 90.00 90.00
Positions (direct):
1 K 0.000 0.000 0.000
2 K 0.290 0.220 0.582
3 K 0.290 0.582 0.220
4 K 0.710 0.220 0.582
5 K 0.710 0.582 0.220
6 Sb 0.500 0.915 0.915
7 Cl 0.000 0.469 0.867
8 Cl 0.000 0.867 0.469
9 O 0.320 0.093 0.093
10 O 0.500 0.598 0.894
11 O 0.500 0.894 0.598
12 O 0.680 0.093 0.093


7.
A plane-wave DFT calculation with PBE was carried out for KSbCl2O after structural relaxation.

abc: 5.646 5.646 7.570
angles: 90.00 90.00 90.00
Positions (direct):
1 K 0.000 0.000 0.000
2 Sb 0.000 0.000 0.500
3 Cl 0.000 0.500 0.000
4 Cl 0.500 0.000 0.000
5 O 0.500 0.500 0.500


8.
A plane-wave DFT calculation with PBE was carried out for K6SeCl2O after structural relaxation.

abc: 7.591 11.282 8.772
angles: 90.00 90.00 90.00
Positions (direct):
1 K 0.010 0.250 0.028
2 K 0.019 0.750 0.376
3 K 0.250 0.017 0.805
4 K 0.250 0.483 0.805
5 K 0.481 0.750 0.376
6 K 0.490 0.250 0.028
7 K 0.510 0.750 0.972
8 K 0.519 0.250 0.624
9 K 0.750 0.517 0.195
10 K 0.750 0.983 0.195
11 K 0.981 0.250 0.624
12 K 0.990 0.750 0.972
13 Se 0.250 0.750 0.679
14 Se 0.750 0.250 0.321
15 Cl 0.250 0.562 0.151
16 Cl 0.250 0.938 0.151
17 Cl 0.750 0.062 0.849
18 Cl 0.750 0.438 0.849
19 O 0.250 0.250 0.806
20 O 0.750 0.750 0.194


9.
A plane-wave DFT calculation with PBE was carried out for K3Sr2Cl3O2 after structural relaxation.

abc: 13.225 13.225 13.225
angles: 159.42 159.42 29.27
Positions (direct):
1 K 0.000 0.000 0.000
2 K 0.379 0.379 0.000
3 K 0.621 0.621 0.000
4 Sr 0.250 0.750 0.500
5 Sr 0.750 0.250 0.500
6 Cl 0.128 0.128 0.000
7 Cl 0.500 0.500 0.000
8 Cl 0.872 0.872 0.000
9 O 0.276 0.276 0.000
10 O 0.724 0.724 0.000


10.
A plane-wave DFT calculation with PBE was carried out for K2SrClO after structural relaxation.

abc: 5.648 5.648 4.832
angles: 90.00 90.00 90.00
Positions (direct):
1 K 0.000 0.500 0.000
2 K 0.500 0.000 0.000
3 Sr 0.000 0.000 0.500
4 Cl 0.500 0.500 0.500
5 O 0.000 0.000 0.000


11.
A plane-wave DFT calculation with PBE was carried out for K5TaCl2O4 after structural relaxation.

abc: 8.392 6.199 6.199
angles: 115.07 90.00 90.00
Positions (direct):
1 K 0.000 0.000 0.000
2 K 0.290 0.214 0.576
3 K 0.290 0.576 0.214
4 K 0.710 0.214 0.576
5 K 0.710 0.576 0.214
6 Ta 0.500 0.913 0.913
7 Cl 0.000 0.466 0.859
8 Cl 0.000 0.859 0.466
9 O 0.322 0.084 0.084
10 O 0.500 0.601 0.894
11 O 0.500 0.894 0.601
12 O 0.678 0.084 0.084


12.
A plane-wave DFT calculation with PBE was carried out for KTcCl2O after structural relaxation.

abc: 5.132 5.132 3.783
angles: 90.00 90.00 90.00
Positions (direct):
1 K 0.000 0.000 0.000
2 Tc 0.500 0.500 0.500
3 Cl 0.000 0.500 0.500
4 Cl 0.500 0.000 0.500
5 O 0.500 0.500 0.000


13.
A plane-wave DFT calculation with PBE was carried out for K3Tc2Cl2O5 after structural relaxation.

abc: 12.443 12.443 12.443
angles: 161.52 161.52 26.25
Positions (direct):
1 K 0.000 0.000 0.000
2 K 0.166 0.166 0.000
3 K 0.834 0.834 0.000
4 Tc 0.420 0.420 0.000
5 Tc 0.580 0.580 0.000
6 Cl 0.312 0.312 0.000
7 Cl 0.688 0.688 0.000
8 O 0.083 0.583 0.500
9 O 0.417 0.917 0.500
10 O 0.500 0.500 0.000
11 O 0.583 0.083 0.500
12 O 0.917 0.417 0.500


14.
A plane-wave DFT calculation with PBE was carried out for K2ThCl2O2 after structural relaxation.

abc: 8.992 8.992 8.992
angles: 150.86 150.86 41.69
Positions (direct):
1 K 0.133 0.133 0.000
2 K 0.867 0.867 0.000
3 Th 0.500 0.500 0.000
4 Cl 0.328 0.328 0.000
5 Cl 0.672 0.672 0.000
6 O 0.000 0.500 0.500
7 O 0.500 0.000 0.500


15.
A plane-wave DFT calculation with PBE was carried out for K2TlClO after structural relaxation.

Calculated values
For the distance to the lowest polymorph of the same formula, the calculation gives 1084 meV per atom.

abc: 6.780 6.780 5.575
angles: 90.00 90.00 90.00
Positions (direct):
1 K 0.000 0.500 0.000
2 K 0.500 0.000 0.000
3 Tl 0.000 0.000 0.000
4 Cl 0.000 0.000 0.500
5 O 0.500 0.500 0.500


16.
A plane-wave DFT calculation with PBE was carried out for K2TlClO after structural relaxation.

Calculated values
For the distance to the lowest polymorph of the same formula, the calculation gives 0 meV per atom.

abc: 5.352 5.352 5.093
angles: 90.00 90.00 90.00
Positions (direct):
1 K 0.000 0.500 0.000
2 K 0.500 0.000 0.000
3 Tl 0.000 0.000 0.500
4 Cl 0.500 0.500 0.500
5 O 0.000 0.000 0.000


17.
A plane-wave DFT calculation with PBE was carried out for K3Tl2Cl2O4 after structural relaxation.

abc: 12.941 12.941 12.941
angles: 160.75 160.75 27.36
Positions (direct):
1 K 0.000 0.000 0.000
2 K 0.167 0.167 0.000
3 K 0.833 0.833 0.000
4 Tl 0.411 0.411 0.000
5 Tl 0.589 0.589 0.000
6 Cl 0.303 0.303 0.000
7 Cl 0.697 0.697 0.000
8 O 0.077 0.577 0.500
9 O 0.423 0.923 0.500
10 O 0.577 0.077 0.500
11 O 0.923 0.423 0.500


18.
A plane-wave DFT calculation with PBE was carried out for K2UCl3O3 after structural relaxation.

abc: 8.532 8.532 3.221
angles: 90.00 90.00 120.00
Positions (direct):
1 K 0.333 0.667 0.000
2 K 0.667 0.333 0.000
3 U 0.000 0.000 0.500
4 Cl 0.000 0.388 0.500
5 Cl 0.388 0.000 0.500
6 Cl 0.612 0.612 0.500
7 O 0.000 0.834 0.000
8 O 0.166 0.166 0.000
9 O 0.834 0.000 0.000


19.
A plane-wave DFT calculation with PBE was carried out for K2UCl5O after structural relaxation.

abc: 7.195 7.195 7.195
angles: 117.21 117.21 94.91
Positions (direct):
1 K 0.000 0.500 0.500
2 K 0.500 0.000 0.500
3 U 0.257 0.257 0.000
4 Cl 0.494 0.494 0.498
5 Cl 0.494 0.995 0.000
6 Cl 0.993 0.993 0.000
7 Cl 0.995 0.494 0.000
8 Cl 0.995 0.995 0.502
9 O 0.446 0.446 0.000


What did we get for DFT total energy? Answer: -4.65 -5.52 -4.03 -4.33 -3.84 -4.43 -2.22 -3.22 -4.34 -3.55 -5.53 -5.17 -5.88 -5.88 -2.33 -3.41 -3.89 -5.68 -5.09 eV per atom, in the order shown.